# Tm4ZrN5 PBE-GGA optimized geometry
data_Tm4ZrN5
_chemical_formula_sum 'Tm8 Zr2 N10'
_cell_length_a 7.5208
_cell_length_b 7.5208
_cell_length_c 4.7626
_cell_angle_alpha 90.00
_cell_angle_beta 90.00
_cell_angle_gamma 90.00
_symmetry_space_group_name_H-M 'I 4/m'
_symmetry_Int_Tables_number 87
_symmetry_space_group_name_Hall '-I 4'
loop_
_atom_site_label
_atom_site_fract_x
_atom_site_fract_y
_atom_site_fract_z
Tm1 0.1001 0.2997 0.0000
Zr1 0.0000 0.0000 0.5000
N1 0.0000 0.0000 0.0000
N2 0.0972 0.2919 0.5000
# D(E_F) ... 3.89 states/eV/cell
# Crystal system ... tetragonal
# E ... -8.6316 eV per atom